# LiThCdIn PBE-GGA relaxed
# * energy of formation: -163 meV/atom
data_LiThCdIn
_cell_length_a 5.233
_cell_length_b 5.233
_cell_length_c 5.233
_cell_angle_alpha 60.00
_cell_angle_beta 60.00
_cell_angle_gamma 60.00
_space_group_name_H-M_alt 'P 1'
_space_group_IT_number 1
loop_
_space_group_symop_operation_xyz
'x,y,z'
loop_
_atom_site_label
_atom_site_fract_x
_atom_site_fract_y
_atom_site_fract_z
_atom_site_occupancy
Li1 0.000 0.000 0.000 1
Th1 0.500 0.500 0.500 1
Cd1 0.250 0.250 0.250 1
In1 0.750 0.750 0.750 1